Density functional theory data (PBE-GGA) for crystalline Cs2AgTeSe at its relaxed geometry.

Cell: 7.0923 7.0923 4.8736 Å, 90.00 90.00 90.00°
Closest atoms and distances in Å follow each position.
Atoms (fractional coordinates):
Cs 0.0000 0.5000 0.0000  2 Se 3.55
Cs 0.5000 0.0000 0.0000  2 Se 3.55
Te 0.5000 0.5000 0.5000  8 Cs 4.30
Se 0.0000 0.0000 0.0000  2 Ag 2.44
Ag 0.0000 0.0000 0.5000  2 Se 2.44

Values from the calculation:
**Uncorrected formation energy**: -0.52 eV/atom
**Space-group type**: P4/mmm, No. 123
**Uncorrected energy**: -2.75 eV/atom
**Total magnetization**: 0.90 μB per formula unit